1:
Material: AlSn3Sb
Method: DFT, GGA-PBE
State: optimized geometry

Its crystal system is cubic. The magnetic moment comes out at 0.00 Bohr magnetons per cell. The calculation puts the calculated volume at 188.36 Å³ per cell.

The structure belongs to space group Pm-3m (No. 221); the cell edges are 5.732, 5.732 and 5.732 Å and the angles 90.00°, 90.00° and 90.00°. The asymmetric unit holds Al at (0.000, 0.000, 0.000), Sn at (0.000, 0.500, 0.500) and Sb at (0.500, 0.500, 0.500).



2:
Material: AlSn3Sb
Method: DFT, GGA-PBE
State: optimized geometry

Its crystal system is cubic. The magnetic moment comes out at 0.00 Bohr magnetons per cell. The calculation puts the calculated volume at 148.71 Å³ per cell.

The structure belongs to space group Pm-3m (No. 221); the cell edges are 5.298, 5.298 and 5.298 Å and the angles 90.00°, 90.00° and 90.00°. The asymmetric unit holds Al at (0.000, 0.000, 0.000), Sn at (0.000, 0.000, 0.500) and Sb at (0.500, 0.500, 0.500).



2 is the most stable structure; the next one sits 0.460 eV/atom above it.



1:
Material: Al2SnSb
Method: DFT, GGA-PBE
State: optimized geometry

Its crystal system is tetragonal. The magnetic moment comes out at 0.00 Bohr magnetons per cell. The calculation puts the calculated volume at 490.76 Å³ per cell.

The structure belongs to space group I-42d (No. 122); the cell edges are 6.327, 6.327 and 12.260 Å and the angles 90.00°, 90.00° and 90.00°. The asymmetric unit holds Al at (0.248, 0.250, 0.125), Sn at (0.000, 0.000, 0.500) and Sb at (0.000, 0.000, 0.000).



2:
Material: Al2SnSb
Method: DFT, GGA-PBE
State: optimized geometry

Its crystal system is cubic. The magnetic moment comes out at 0.00 Bohr magnetons per cell. The calculation puts the calculated volume at 360.21 Å³ per cell.

The structure belongs to space group Fm-3m (No. 225); the cell edges are 7.115, 7.115 and 7.115 Å and the angles 90.00°, 90.00° and 90.00°. The asymmetric unit holds Al at (0.250, 0.250, 0.250), Sn at (0.000, 0.000, 0.000) and Sb at (0.000, 0.000, 0.500).



1 is the most stable structure; the next one sits 0.114 eV/atom above it.